1.
A plane-wave DFT calculation with PBE was carried out for a geometry-optimized CaLa structure.

Crystal system: cubic

```
data_CaLa
_chemical_formula_sum 'Ca8 La8'
_space_group_name_H-M_alt 'P 1'
_space_group_IT_number 1
_cell_length_a 11.029
_cell_length_b 11.029
_cell_length_c 11.029
_cell_angle_alpha 90.00
_cell_angle_beta 90.00
_cell_angle_gamma 90.00
loop_
_space_group_symop_operation_xyz
'x,y,z'
loop_
_atom_site_label
_atom_site_type_symbol
_atom_site_fract_x
_atom_site_fract_y
_atom_site_fract_z
La1 La 0.399 0.601 0.601
La2 La 0.601 0.601 0.399
La3 La 0.101 0.101 0.899
La4 La 0.601 0.399 0.601
La5 La 0.899 0.899 0.899
La6 La 0.899 0.101 0.101
La7 La 0.101 0.899 0.101
La8 La 0.399 0.399 0.399
Ca1 Ca 0.796 0.796 0.204
Ca2 Ca 0.296 0.704 0.296
Ca3 Ca 0.204 0.204 0.204
Ca4 Ca 0.704 0.296 0.296
Ca5 Ca 0.204 0.796 0.796
Ca6 Ca 0.296 0.296 0.704
Ca7 Ca 0.796 0.204 0.796
Ca8 Ca 0.704 0.704 0.704
```

2.
A plane-wave DFT calculation with PBE was carried out for a geometry-optimized CaLa structure.

Crystal system: cubic

```
data_CaLa
_chemical_formula_sum 'Ca4 La4'
_space_group_name_H-M_alt 'P 1'
_space_group_IT_number 1
_cell_length_a 6.938
_cell_length_b 6.938
_cell_length_c 6.938
_cell_angle_alpha 90.00
_cell_angle_beta 90.00
_cell_angle_gamma 90.00
loop_
_space_group_symop_operation_xyz
'x,y,z'
loop_
_atom_site_label
_atom_site_type_symbol
_atom_site_fract_x
_atom_site_fract_y
_atom_site_fract_z
Ca1 Ca 0.500 0.000 0.500
Ca2 Ca 0.500 0.500 0.000
Ca3 Ca 0.000 0.500 0.500
Ca4 Ca 0.000 0.000 0.000
La1 La 0.500 0.500 0.500
La2 La 0.000 0.500 0.000
La3 La 0.000 0.000 0.500
La4 La 0.500 0.000 0.000
```

3.
A plane-wave DFT calculation with PBE was carried out for a geometry-optimized CaLa structure.

Crystal system: cubic

```
data_CaLa
_chemical_formula_sum 'Ca1 La1'
_space_group_name_H-M_alt 'P 1'
_space_group_IT_number 1
_cell_length_a 5.404
_cell_length_b 5.404
_cell_length_c 5.404
_cell_angle_alpha 60.00
_cell_angle_beta 60.00
_cell_angle_gamma 60.00
loop_
_space_group_symop_operation_xyz
'x,y,z'
loop_
_atom_site_label
_atom_site_type_symbol
_atom_site_fract_x
_atom_site_fract_y
_atom_site_fract_z
La1 La 0.750 0.750 0.750
Ca1 Ca 0.000 0.000 0.000
```

Going by the energies, 2 is most stable and the next is 394 meV/atom up.

1.
A plane-wave DFT calculation with PBE was carried out for a geometry-optimized LiCaLa2 structure.

Crystal system: orthorhombic

```
data_LiCaLa2
_chemical_formula_sum 'Li1 Ca1 La2'
_space_group_name_H-M_alt 'P 1'
_space_group_IT_number 1
_cell_length_a 3.907
_cell_length_b 5.775
_cell_length_c 6.133
_cell_angle_alpha 90.00
_cell_angle_beta 90.00
_cell_angle_gamma 90.00
loop_
_space_group_symop_operation_xyz
'x,y,z'
loop_
_atom_site_label
_atom_site_type_symbol
_atom_site_fract_x
_atom_site_fract_y
_atom_site_fract_z
Li1 Li 0.500 0.000 0.500
La1 La 0.500 0.500 0.000
La2 La 0.000 0.000 0.000
Ca1 Ca 0.000 0.500 0.500
```

2.
A plane-wave DFT calculation with PBE was carried out for a geometry-optimized LiCaLa2 structure.

Crystal system: cubic

```
data_LiCaLa2
_chemical_formula_sum 'Li1 Ca1 La2'
_space_group_name_H-M_alt 'P 1'
_space_group_IT_number 1
_cell_length_a 5.787
_cell_length_b 5.787
_cell_length_c 5.787
_cell_angle_alpha 60.00
_cell_angle_beta 60.00
_cell_angle_gamma 60.00
loop_
_space_group_symop_operation_xyz
'x,y,z'
loop_
_atom_site_label
_atom_site_type_symbol
_atom_site_fract_x
_atom_site_fract_y
_atom_site_fract_z
Li1 Li 0.750 0.750 0.750
La1 La 0.250 0.250 0.250
La2 La 0.000 0.000 0.000
Ca1 Ca 0.500 0.500 0.500
```

Going by the energies, 1 is most stable and the next is 99 meV/atom up.